--- i ---
An optimized crystal structure of LiCaNd2. Source: the Alexandria database, functional PBE.

**DOS at the Fermi energy**: 1.505 states/eV/atom

Unit cell a=3.809 b=3.809 c=9.053 alpha=90.00 beta=90.00 gamma=90.00
Positions (direct):
Ca 0.500 0.500 0.500
Nd 0.000 0.000 0.798
Nd 0.000 0.000 0.202
Li 0.500 0.500 0.000

=====

--- ii ---
An optimized crystal structure of LiCaNd2. Source: the Alexandria database, functional PBE.

**DOS at the Fermi energy**: 1.494 states/eV/atom

Unit cell a=5.727 b=5.727 c=5.727 alpha=60.00 beta=60.00 gamma=60.00
Positions (direct):
Ca 0.000 0.000 0.000
Nd 0.250 0.250 0.250
Nd 0.750 0.750 0.750
Li 0.500 0.500 0.500

=====

Of them, ii has the lowest stability.

=====

--- i ---
An optimized crystal structure of LiCaNd. Source: the Alexandria database, functional PBE.

**DOS at the Fermi energy**: 0.822 states/eV/atom

Unit cell a=3.740 b=5.715 c=9.151 alpha=90.00 beta=101.83 gamma=90.00
Positions (direct):
Li 0.071 0.250 0.644
Li 0.929 0.750 0.356
Ca 0.411 0.250 0.322
Ca 0.589 0.750 0.678
Nd 0.724 0.250 0.949
Nd 0.276 0.750 0.051

=====

--- ii ---
An optimized crystal structure of LiCaNd. Source: the Alexandria database, functional PBE.

**DOS at the Fermi energy**: 1.568 states/eV/atom

Unit cell a=5.217 b=5.217 c=7.825 alpha=90.00 beta=90.00 gamma=90.00
Site moments in Bohr magnetons follow the coordinates.
Positions (direct):
Nd 0.500 0.500 0.500  0.09
Nd 0.000 0.000 0.500  0.09
Ca 0.500 0.500 0.000  0.00
Ca 0.000 0.000 0.000  0.00
Li 0.500 0.000 0.743  0.00
Li 0.000 0.500 0.257  0.00

=====

Of them, ii has the lowest stability.

=====

--- i ---
An optimized crystal structure of LiCaNd. Source: the Alexandria database, functional PBE.

**DOS at the Fermi energy**: 1.120 states/eV/atom

Unit cell a=3.653 b=3.653 c=8.622 alpha=90.00 beta=90.00 gamma=120.00
Positions (direct):
Ca 0.333 0.667 0.655
Nd 0.000 0.000 0.016
Li 0.667 0.333 0.329

=====

--- ii ---
An optimized crystal structure of LiCaNd. Source: the Alexandria database, functional PBE.

**DOS at the Fermi energy**: 1.518 states/eV/atom

Unit cell a=3.699 b=3.699 c=7.505 alpha=104.27 beta=104.27 gamma=90.00
Positions (direct):
Ca 0.016 0.016 0.032
Nd 0.316 0.316 0.633
Li 0.667 0.667 0.335

=====

Of them, i has the lowest stability.

=====

--- i ---
An optimized crystal structure of LiCaNi. Source: the Alexandria database, functional PBE.

**DOS at the Fermi energy**: 0.460 states/eV/atom

Unit cell a=7.092 b=4.115 c=10.350 alpha=90.00 beta=124.57 gamma=90.00
Positions (direct):
Li 0.412 0.000 0.793
Li 0.588 0.000 0.207
Li 0.412 0.500 0.293
Li 0.588 0.500 0.707
Ca 0.827 0.000 0.574
Ca 0.173 0.000 0.426
Ca 0.827 0.500 0.074
Ca 0.173 0.500 0.926
Ni 0.161 0.000 0.128
Ni 0.839 0.000 0.872
Ni 0.161 0.500 0.628
Ni 0.839 0.500 0.372

=====

--- ii ---
An optimized crystal structure of LiCaNi. Source: the Alexandria database, functional PBE.

**DOS at the Fermi energy**: 0.842 states/eV/atom

Unit cell a=4.632 b=4.632 c=4.632 alpha=60.00 beta=60.00 gamma=60.00
Positions (direct):
Ca 0.750 0.750 0.750
Li 0.000 0.000 0.000
Ni 0.500 0.500 0.500

=====

Of them, ii has the lowest stability.

=====

--- i ---
An optimized crystal structure of LiCaNi. Source: the Alexandria database, functional PBE.

**DOS at the Fermi energy**: 0.356 states/eV/atom

Unit cell a=5.247 b=5.589 c=7.640 alpha=90.00 beta=90.00 gamma=90.00
Positions (direct):
Li 0.244 0.000 0.429
Li 0.756 0.000 0.429
Li 0.744 0.500 0.929
Li 0.256 0.500 0.929
Ca 0.000 0.500 0.559
Ca 0.500 0.000 0.059
Ca 0.000 0.000 0.819
Ca 0.500 0.500 0.319
Ni 0.000 0.722 0.186
Ni 0.000 0.278 0.186
Ni 0.500 0.222 0.686
Ni 0.500 0.778 0.686

=====

--- ii ---
An optimized crystal structure of LiCaNi. Source: the Alexandria database, functional PBE.

**DOS at the Fermi energy**: 0.404 states/eV/atom

Unit cell a=4.288 b=4.288 c=3.783 alpha=90.00 beta=90.00 gamma=120.00
Positions (direct):
Ca 0.000 0.000 0.000
Li 0.667 0.333 0.500
Ni 0.333 0.667 0.500

=====

--- iii ---
An optimized crystal structure of LiCaNi. Source: the Alexandria database, functional PBE.

**DOS at the Fermi energy**: 0.650 states/eV/atom

Unit cell a=3.985 b=4.039 c=8.623 alpha=103.55 beta=90.00 gamma=90.00
Positions (direct):
Li 0.750 0.301 0.602
Li 0.250 0.699 0.398
Ca 0.250 0.909 0.819
Ca 0.750 0.091 0.181
Ni 0.250 0.535 0.069
Ni 0.750 0.465 0.931

=====

Of them, ii has the lowest stability.

=====

--- i ---
An optimized crystal structure of LiCaNi3. Source: the Alexandria database, functional PBE.

**DOS at the Fermi energy**: 1.500 states/eV/atom

Unit cell a=4.200 b=4.200 c=4.200 alpha=90.00 beta=90.00 gamma=90.00
Site moments in Bohr magnetons follow the coordinates.
Positions (direct):
Ni 0.000 0.500 0.000  0.15
Ni 0.000 0.000 0.500  0.16
Ni 0.500 0.000 0.000  0.12
Ca 0.500 0.500 0.500  -0.01
Li 0.000 0.000 0.000  -0.01

=====

--- ii ---
An optimized crystal structure of LiCaNi3. Source: the Alexandria database, functional PBE.

**DOS at the Fermi energy**: 0.695 states/eV/atom

Unit cell a=4.673 b=4.673 c=4.673 alpha=90.00 beta=90.00 gamma=90.00
Positions (direct):
Ni 0.000 0.500 0.000
Ni 0.000 0.000 0.500
Ni 0.500 0.000 0.000
Ca 0.000 0.000 0.000
Li 0.500 0.500 0.500

=====

Of them, ii has the lowest stability.

=====

--- i ---
An optimized crystal structure of Sr2LiCaNi. Source: the Alexandria database, functional PBE.

**DOS at the Fermi energy**: 0.808 states/eV/atom

Unit cell a=5.842 b=5.842 c=5.183 alpha=90.00 beta=90.00 gamma=90.00
Positions (direct):
Sr 0.000 0.500 0.000
Sr 0.500 0.000 0.000
Ca 0.500 0.500 0.500
Li 0.000 0.000 0.500
Ni 0.000 0.000 0.000

=====

--- ii ---
An optimized crystal structure of Sr2LiCaNi. Source: the Alexandria database, functional PBE.

**DOS at the Fermi energy**: 0.489 states/eV/atom

Unit cell a=5.835 b=5.835 c=5.497 alpha=90.00 beta=90.00 gamma=90.00
Positions (direct):
Sr 0.000 0.500 0.000
Sr 0.500 0.000 0.000
Ca 0.000 0.000 0.500
Li 0.500 0.500 0.500
Ni 0.000 0.000 0.000

=====

Of them, i has the lowest stability.